CeS2I: relaxed, GGA-PBE.

Summary:
- E: -20.0 eV/f.u.
- Space-group type: No. 166

Cell: 10.6731 10.6731 10.6731 Å, 21.87 21.87 21.87°
With the nearest neighbours (Å) after each atom.
Fractional coordinates of all 4 atoms:
Ce (0.0000, 0.0000, 0.0000)  6 S 2.72
S (0.2892, 0.2892, 0.2892)  3 Ce 2.72
S (0.7108, 0.7108, 0.7108)  3 Ce 2.72
I (0.5000, 0.5000, 0.5000)  6 I 4.05, 6 S 4.48

***

CeSI: relaxed, GGA-PBE.

Summary:
- E: -16.8 eV/f.u.
- Space-group type: No. 11

Cell: 4.4201 5.4514 10.8701 Å, 90.00 101.29 90.00°
With the nearest neighbours (Å) after each atom.
Fractional coordinates of all 6 atoms:
Ce (0.1945, 0.2500, 0.3851)  4 S 2.81-2.84
Ce (0.8055, 0.7500, 0.6149)  4 S 2.81-2.84
S (0.2251, 0.7500, 0.4482)  4 Ce 2.81-2.84
S (0.7749, 0.2500, 0.5518)  4 Ce 2.81-2.84
I (0.4084, 0.7500, 0.8285)  2 Ce 3.17
I (0.5916, 0.2500, 0.1715)  2 Ce 3.17

***

Ce4S6I: relaxed, GGA-PBE.

Summary:
- Space-group type: No. 187
- Polymorph energy (0 for the lowest one): 0 meV per atom

Cell: 8.5998 8.5998 4.0271 Å, 90.00 90.00 120.00°
With the nearest neighbours (Å) after each atom.
Fractional coordinates of all 11 atoms:
Ce (0.0000, 0.0000, 0.0000)  9 S 2.88-3.09
Ce (0.0302, 0.5151, 0.5000)  6 S 2.82-2.90
Ce (0.4849, 0.5151, 0.5000)  6 S 2.82-2.90
Ce (0.4849, 0.9698, 0.5000)  6 S 2.82-2.90
S (0.2073, 0.4147, 0.0000)  5 Ce 2.90-3.09, 2 S 3.25
S (0.2073, 0.7927, 0.0000)  5 Ce 2.90-3.09, 2 S 3.25
S (0.2755, 0.1378, 0.5000)  4 Ce 2.82-2.88
S (0.5853, 0.7927, 0.0000)  5 Ce 2.90-3.09, 2 S 3.25
S (0.8622, 0.1378, 0.5000)  4 Ce 2.82-2.88
S (0.8622, 0.7245, 0.5000)  4 Ce 2.82-2.88
I (0.6667, 0.3333, 0.0000)  6 Ce 3.37, 6 S 3.54

***

Ce4S6I: relaxed, GGA-PBE.

Summary:
- Space-group type: No. 121
- Polymorph energy (0 for the lowest one): 21 meV per atom

Cell: 7.4188 7.4188 7.4188 Å, 118.24 118.24 93.08°
With the nearest neighbours (Å) after each atom.
Fractional coordinates of all 11 atoms:
Ce (0.1107, 0.6801, 0.0000)  6 S 2.80-2.92
Ce (0.3199, 0.3199, 0.4305)  6 S 2.80-2.92
Ce (0.6801, 0.1107, 0.0000)  6 S 2.80-2.92
Ce (0.8893, 0.8893, 0.5695)  6 S 2.80-2.92
S (0.0000, 0.5000, 0.5000)  4 Ce 2.92
S (0.0133, 0.3104, 0.0000)  4 Ce 2.80-2.88
S (0.3104, 0.0133, 0.0000)  4 Ce 2.80-2.88
S (0.5000, 0.0000, 0.5000)  4 Ce 2.92
S (0.6896, 0.6896, 0.7030)  4 Ce 2.80-2.88
S (0.9867, 0.9867, 0.2970)  4 Ce 2.80-2.88
I (0.5000, 0.5000, 0.0000)  4 Ce 3.25

***

CeSI: relaxed, GGA-PBE.

Summary:
- E: -16.6 eV/f.u.
- Space-group type: No. 129

Cell: 4.7824 4.7824 7.8836 Å, 90.00 90.00 90.00°
With the nearest neighbours (Å) after each atom.
Fractional coordinates of all 6 atoms:
Ce (0.2500, 0.2500, 0.1869)  4 S 2.81
Ce (0.7500, 0.7500, 0.8131)  4 S 2.81
S (0.2500, 0.7500, 0.0000)  4 Ce 2.81
S (0.7500, 0.2500, 0.0000)  4 Ce 2.81
I (0.2500, 0.2500, 0.6224)  5 Ce 3.43-3.70, 4 S 3.82
I (0.7500, 0.7500, 0.3776)  5 Ce 3.43-3.70, 4 S 3.82

***

CeS6I2: relaxed, GGA-PBE.

Summary:
- E: -37.4 eV/f.u.
- Space-group type: No. 2

Cell: 5.0947 7.8642 8.3414 Å, 62.32 87.35 84.00°
With the nearest neighbours (Å) after each atom.
Fractional coordinates of all 9 atoms:
Ce (0.0000, 0.0000, 0.0000)  6 S 2.89-3.06
S (0.0645, 0.7746, 0.7825)  1 S 2.00
S (0.0650, 0.5605, 0.2177)  1 S 2.00
S (0.2999, 0.6676, 0.0003)  2 S 2.00
S (0.7001, 0.3324, 0.9997)  2 S 2.00
S (0.9350, 0.4395, 0.7823)  1 S 2.00
S (0.9355, 0.2254, 0.2175)  1 S 2.00
I (0.4991, 0.1371, 0.7215)  2 Ce 3.27, 4 S 3.56-3.63
I (0.5009, 0.8629, 0.2785)  2 Ce 3.27, 4 S 3.56-3.63

***

CeSI: relaxed, GGA-PBE.

Summary:
- E: -16.5 eV/f.u.
- Space-group type: No. 156

Cell: 4.3764 4.3764 6.9434 Å, 90.00 90.00 120.00°
With the nearest neighbours (Å) after each atom.
Fractional coordinates of all 3 atoms:
Ce (0.0000, 0.0000, 0.0000)  3 S 2.75
S (0.6667, 0.3333, 0.1558)  3 Ce 2.75
I (0.3333, 0.6667, 0.6967)  3 Ce 3.29

***

CeSI: relaxed, GGA-PBE.

Summary:
- E: -16.0 eV/f.u.
- Space-group type: No. 107

Cell: 6.7178 6.7178 6.7178 Å, 147.61 147.61 46.46°
With the nearest neighbours (Å) after each atom.
Fractional coordinates of all 3 atoms:
Ce (0.0000, 0.0000, 0.0000)  4 S 2.86
S (0.5877, 0.5877, 0.0000)  4 Ce 2.86
I (0.3188, 0.3188, 0.0000)  1 S 3.32, 4 Ce 3.47

***

What did we get for magnetic moment? Answer: 0.6; 2.0; 2.9; 3.0; 2.0; 0.6; 1.0; 0.9 Bohr magnetons per cell, in the order shown.